No. 1
A geometry-optimized Si2AgPW structure, computed with PBE-GGA.

Geometry as CIF:
```
data_Si2AgPW
_symmetry_space_group_name_H-M 'P 4/m m m'
_symmetry_Int_Tables_number 123
_symmetry_space_group_name_Hall '-P 4 2'
_cell_length_a 4.6931
_cell_length_b 4.6931
_cell_length_c 5.2239
_cell_angle_alpha 90.00
_cell_angle_beta 90.00
_cell_angle_gamma 90.00
loop_
_atom_site_label
_atom_site_type_symbol
_atom_site_fract_x
_atom_site_fract_y
_atom_site_fract_z
_atom_site_occupancy
Si1 Si 0.0000 0.5000 0.0000 1
Ag1 Ag 0.0000 0.0000 0.5000 1
P1 P 0.5000 0.5000 0.5000 1
W1 W 0.0000 0.0000 0.0000 1
```

Properties
VASP energy = -5.05 eV/atom
Total moment = 0.2 μB per formula unit
Crystal system = tetragonal
ΔE_f (raw) = 1363 meV per atom

No. 2
A geometry-optimized Si2AgPW structure, computed with PBE-GGA.

Geometry as CIF:
```
data_Si2AgPW
_symmetry_space_group_name_H-M 'P 4/m m m'
_symmetry_Int_Tables_number 123
_symmetry_space_group_name_Hall '-P 4 2'
_cell_length_a 4.6757
_cell_length_b 4.6757
_cell_length_c 4.7835
_cell_angle_alpha 90.00
_cell_angle_beta 90.00
_cell_angle_gamma 90.00
loop_
_atom_site_label
_atom_site_type_symbol
_atom_site_fract_x
_atom_site_fract_y
_atom_site_fract_z
_atom_site_occupancy
Si1 Si 0.0000 0.5000 0.0000 1
Ag1 Ag 0.0000 0.0000 0.0000 1
P1 P 0.0000 0.0000 0.5000 1
W1 W 0.5000 0.5000 0.5000 1
```

Properties
VASP energy = -4.57 eV/atom
Total moment = 2.8 μB per formula unit
Crystal system = tetragonal
ΔE_f (raw) = 1843 meV per atom

No. 3
A geometry-optimized SmAgP structure, computed with PBE-GGA.

Geometry as CIF:
```
data_SmAgP
_symmetry_space_group_name_H-M 'P 63/m m c'
_symmetry_Int_Tables_number 194
_symmetry_space_group_name_Hall '-P 6c 2c'
_cell_length_a 4.2674
_cell_length_b 4.2674
_cell_length_c 7.9822
_cell_angle_alpha 90.00
_cell_angle_beta 90.00
_cell_angle_gamma 120.00
loop_
_atom_site_label
_atom_site_type_symbol
_atom_site_fract_x
_atom_site_fract_y
_atom_site_fract_z
_atom_site_occupancy
Sm1 Sm 0.0000 0.0000 0.0000 1
Ag1 Ag 0.3333 0.6667 0.2500 1
P1 P 0.3333 0.6667 0.7500 1
```

Properties
VASP energy = -5.06 eV/atom
Energy of formation from the pure elements = -0.728 eV/atom
Total moment = 0.0 μB per formula unit
Crystal system = hexagonal

No. 4
A geometry-optimized Ag3SnP structure, computed with PBE-GGA.

Geometry as CIF:
```
data_Ag3SnP
_symmetry_space_group_name_H-M 'P m -3 m'
_symmetry_Int_Tables_number 221
_symmetry_space_group_name_Hall '-P 4 2 3'
_cell_length_a 4.8455
_cell_length_b 4.8455
_cell_length_c 4.8455
_cell_angle_alpha 90.00
_cell_angle_beta 90.00
_cell_angle_gamma 90.00
loop_
_atom_site_label
_atom_site_type_symbol
_atom_site_fract_x
_atom_site_fract_y
_atom_site_fract_z
_atom_site_occupancy
Ag1 Ag 0.0000 0.0000 0.5000 1
Sn1 Sn 0.5000 0.5000 0.5000 1
P1 P 0.0000 0.0000 0.0000 1
```

Properties
VASP energy = -3.28 eV/atom
Energy of formation from the pure elements = 0.316 eV/atom
Total moment = 0.0 μB per formula unit
Crystal system = cubic

No. 5
A geometry-optimized Ag2SnP2 structure, computed with PBE-GGA.

Geometry as CIF:
```
data_Ag2SnP2
_symmetry_space_group_name_H-M 'P 4/m b m'
_symmetry_Int_Tables_number 127
_symmetry_space_group_name_Hall '-P 4 2ab'
_cell_length_a 8.0118
_cell_length_b 8.0118
_cell_length_c 2.9756
_cell_angle_alpha 90.00
_cell_angle_beta 90.00
_cell_angle_gamma 90.00
loop_
_atom_site_label
_atom_site_type_symbol
_atom_site_fract_x
_atom_site_fract_y
_atom_site_fract_z
_atom_site_occupancy
Ag1 Ag 0.1255 0.3745 0.0000 1
Sn1 Sn 0.0000 0.0000 0.5000 1
P1 P 0.1775 0.6775 0.5000 1
```

Properties
VASP energy = -3.81 eV/atom
Energy of formation from the pure elements = 0.297 eV/atom
Total moment = 0.0 μB per formula unit
Crystal system = tetragonal

No. 6
A geometry-optimized Ag2Sn2P structure, computed with PBE-GGA.

Geometry as CIF:
```
data_Ag2Sn2P
_symmetry_space_group_name_H-M 'P 4/m b m'
_symmetry_Int_Tables_number 127
_symmetry_space_group_name_Hall '-P 4 2ab'
_cell_length_a 7.0945
_cell_length_b 7.0945
_cell_length_c 4.3735
_cell_angle_alpha 90.00
_cell_angle_beta 90.00
_cell_angle_gamma 90.00
loop_
_atom_site_label
_atom_site_type_symbol
_atom_site_fract_x
_atom_site_fract_y
_atom_site_fract_z
_atom_site_occupancy
Ag1 Ag 0.1400 0.3600 0.0000 1
Sn1 Sn 0.1684 0.6684 0.5000 1
P1 P 0.0000 0.0000 0.0000 1
```

Properties
VASP energy = -3.58 eV/atom
Energy of formation from the pure elements = 0.243 eV/atom
Total moment = 0.0 μB per formula unit
Crystal system = tetragonal

No. 7
A geometry-optimized AgSn2P2 structure, computed with PBE-GGA.

Geometry as CIF:
```
data_AgSn2P2
_symmetry_space_group_name_H-M 'P 4/m b m'
_symmetry_Int_Tables_number 127
_symmetry_space_group_name_Hall '-P 4 2ab'
_cell_length_a 7.5202
_cell_length_b 7.5202
_cell_length_c 3.7805
_cell_angle_alpha 90.00
_cell_angle_beta 90.00
_cell_angle_gamma 90.00
loop_
_atom_site_label
_atom_site_type_symbol
_atom_site_fract_x
_atom_site_fract_y
_atom_site_fract_z
_atom_site_occupancy
Ag1 Ag 0.0000 0.0000 0.0000 1
Sn1 Sn 0.1541 0.3459 0.5000 1
P1 P 0.1639 0.6639 0.0000 1
```

Properties
VASP energy = -4.10 eV/atom
Energy of formation from the pure elements = 0.239 eV/atom
Total moment = 0.0 μB per formula unit
Crystal system = tetragonal

No. 8
A geometry-optimized AgSn2P2 structure, computed with PBE-GGA.

Geometry as CIF:
```
data_AgSn2P2
_symmetry_space_group_name_H-M 'I 4/m m m'
_symmetry_Int_Tables_number 139
_symmetry_space_group_name_Hall '-I 4 2'
_cell_length_a 3.3745
_cell_length_b 3.3745
_cell_length_c 18.5603
_cell_angle_alpha 90.00
_cell_angle_beta 90.00
_cell_angle_gamma 90.00
loop_
_atom_site_label
_atom_site_type_symbol
_atom_site_fract_x
_atom_site_fract_y
_atom_site_fract_z
_atom_site_occupancy
Ag1 Ag 0.0000 0.0000 0.0000 1
Sn1 Sn 0.0000 0.0000 0.3951 1
P1 P 0.0000 0.5000 0.2500 1
```

Properties
VASP energy = -4.13 eV/atom
Energy of formation from the pure elements = 0.203 eV/atom
Total moment = 0.0 μB per formula unit
Crystal system = tetragonal